Entry 1:
DFT (PBE) results for a geometry-optimized H2Br structure.

Cell: 6.474 6.397 8.225 Å, 30.05 66.73 69.19°
Positions (direct):
H1 0.306 0.301 0.924
H2 0.694 0.699 0.076
H3 0.459 0.043 0.453
H4 0.541 0.957 0.547
Br1 0.817 0.066 0.752
Br2 0.183 0.934 0.248

- symmetry = P-1, No. 2
- V (A^3/atom) = 26.10
- total energy (eV for the cell shown) = -17.683
- distance to the lowest polymorph of the same formula (meV per atom) = 25
- spin magnetization (μB per formula unit) = 0.0

Entry 2:
DFT (PBE) results for a geometry-optimized H2Br structure.

Cell: 2.715 3.031 6.032 Å, 91.07 91.17 91.25°
Positions (direct):
H1 0.597 0.085 0.517
H2 0.403 0.915 0.483
Br1 0.000 0.500 0.000

- symmetry = P-1, No. 2
- V (A^3/atom) = 16.54
- total energy (eV for the cell shown) = -8.246
- distance to the lowest polymorph of the same formula (meV per atom) = 223
- spin magnetization (μB per formula unit) = 0.0

Entry 3:
DFT (PBE) results for a geometry-optimized HBr3 structure.

Cell: 11.390 11.390 11.390 Å, 16.54 16.54 16.54°
Positions (direct):
H1 0.000 0.000 0.000
Br1 0.500 0.500 0.500
Br2 0.949 0.949 0.949
Br3 0.051 0.051 0.051

- symmetry = R-3m, No. 166
- V (A^3/atom) = 26.10
- total energy (eV for the cell shown) = -7.404
- distance to the lowest polymorph of the same formula (meV per atom) = 0
- spin magnetization (μB per formula unit) = 0.0

Entry 4:
DFT (PBE) results for a geometry-optimized HBr4 structure.

Cell: 4.764 4.764 4.764 Å, 90.00 90.00 90.00°
Positions (direct):
H1 0.500 0.500 0.500
Br1 0.000 0.000 0.000
Br2 0.500 0.000 0.500
Br3 0.000 0.500 0.500
Br4 0.500 0.500 0.000

- symmetry = Pm-3m, No. 221
- V (A^3/atom) = 21.63
- total energy (eV for the cell shown) = -6.280
- spin magnetization (μB per formula unit) = 0.0

Entry 5:
DFT (PBE) results for a geometry-optimized H2Br structure.

Cell: 5.355 5.971 5.482 Å, 116.94 90.23 91.12°
Positions (direct):
H1 0.214 0.294 0.993
H2 0.300 0.356 0.524
H3 0.721 0.884 0.449
H4 0.799 0.769 0.387
Br1 0.461 0.457 0.770
Br2 0.052 0.193 0.138

- symmetry = P1, No. 1
- V (A^3/atom) = 26.03
- total energy (eV for the cell shown) = -17.833
- distance to the lowest polymorph of the same formula (meV per atom) = 0
- spin magnetization (μB per formula unit) = 0.0

Entry 6:
DFT (PBE) results for a geometry-optimized H3Br structure.

Cell: 4.321 4.264 4.746 Å, 90.00 90.00 92.57°
Positions (direct):
H1 0.086 0.657 0.500
H2 0.738 0.869 0.000
H3 0.862 0.998 0.000
Br1 0.314 0.422 0.500

- symmetry = Pm, No. 6
- V (A^3/atom) = 21.84
- total energy (eV for the cell shown) = -12.237
- spin magnetization (μB per formula unit) = 0.0

Entry 7:
DFT (PBE) results for a geometry-optimized H2Br structure.

Cell: 5.570 5.569 11.363 Å, 90.00 114.34 90.00°
Positions (direct):
H1 0.052 0.948 0.250
H2 0.948 0.948 0.750
H3 0.052 0.448 0.750
H4 0.948 0.448 0.250
H5 0.551 0.260 0.487
H6 0.449 0.260 0.513
H7 0.551 0.760 0.987
H8 0.449 0.760 0.013
Br1 0.767 0.255 0.248
Br2 0.233 0.255 0.752
Br3 0.767 0.755 0.748
Br4 0.233 0.755 0.252

- symmetry = C2, No. 5
- V (A^3/atom) = 26.76
- total energy (eV for the cell shown) = -35.666
- distance to the lowest polymorph of the same formula (meV per atom) = 0
- spin magnetization (μB per formula unit) = 0.0

Entry 8:
DFT (PBE) results for a geometry-optimized H2Br structure.

Cell: 5.392 4.665 14.046 Å, 90.00 112.07 90.00°
Positions (direct):
H1 0.077 0.000 0.097
H2 0.077 0.500 0.597
H3 0.618 0.000 0.140
H4 0.618 0.500 0.640
H5 0.152 0.000 0.404
H6 0.152 0.500 0.904
H7 0.303 0.000 0.426
H8 0.303 0.500 0.926
Br1 0.500 0.000 0.219
Br2 0.500 0.500 0.719
Br3 0.804 0.000 0.018
Br4 0.804 0.500 0.518

- symmetry = Cm, No. 8
- V (A^3/atom) = 27.28
- total energy (eV for the cell shown) = -35.657
- distance to the lowest polymorph of the same formula (meV per atom) = 1
- spin magnetization (μB per formula unit) = 0.0

spin magnetization of number 2 (H2Br)?
0.0 μB per formula unit